(1)
Below is a PBEsol-optimized structure of CrSi2O6, with properties calculated at the meta-GGA SCAN level.

The structure belongs to space group C2/c (No. 15); the cell edges are 9.438, 8.557 and 5.304 Å and the angles 90.00°, 110.49° and 90.00°. The inequivalent atoms are Cr at (0.000, 0.094, 0.250), Si at (0.199, 0.413, 0.253), O at (0.112, 0.071, 0.631), O at (0.140, 0.234, 0.228) and O at (0.140, 0.489, 0.956).

The density of states at the Fermi level comes out at 8.59 states/eV/cell. The total energy comes out at -11.09 eV/atom. The calculation puts the formation energy without anion corrections at -2.67 eV/atom. The magnetic moment is 8.000 μB/cell.

(2)
Below is a PBEsol-optimized structure of CaPtC3, with properties calculated at the meta-GGA SCAN level.

The structure belongs to space group Pm-3m (No. 221); the cell edges are 4.151, 4.151 and 4.151 Å and the angles 90.00°, 90.00° and 90.00°. The inequivalent atoms are Ca at (0.000, 0.000, 0.000), Pt at (0.500, 0.500, 0.500) and C at (0.000, 0.000, 0.500).

The density of states at the Fermi level comes out at 2.33 states/eV/cell. For the formation energy, the calculation gives 3.76 eV per atom. The total energy comes out at -18.28 eV/atom. The magnetic moment is 0.000 μB/cell.